Crystalline KInAuC2 at its relaxed geometry. Source: Alexandria via LeMat-Bulk, functional PBE.

POSCAR file:
```
KInAuC2
1.0
5.095 0.000 0.000
0.000 5.095 0.000
0.000 0.000 9.073
K In Au C
1 1 1 2
direct
0.000 0.000 0.000 K
0.000 0.000 0.500 In
0.500 0.500 0.500 Au
0.000 0.500 0.000 C
0.500 0.000 0.000 C
```

Calculated values
E_form   2.90 eV per atom
DOS(E_F)   2.85 states/eV per cell
Total magnetization   1.009 μB/atom
Crystal system   tetragonal

Crystalline MgIn2AuC at its relaxed geometry. Source: Alexandria via LeMat-Bulk, functional PBE.

POSCAR file:
```
MgIn2AuC
1.0
5.256 0.000 0.000
0.000 5.256 0.000
0.000 0.000 5.125
Mg In Au C
1 2 1 1
direct
0.000 0.000 0.000 Mg
0.000 0.500 0.500 In
0.500 0.000 0.500 In
0.000 0.000 0.500 Au
0.500 0.500 0.000 C
```

Calculated values
E_form   1.24 eV per atom
DOS(E_F)   2.27 states/eV per cell
Total magnetization   0.495 μB/atom
Crystal system   tetragonal

Question: Which formula does entry 2 have?
Answer: MgIn2AuC

Question: Among the records above, which one has the lowest DOS(E_F)?
Answer: MgIn2AuC

Copy entry 2 word for word.
Crystalline MgIn2AuC at its relaxed geometry. Source: Alexandria via LeMat-Bulk, functional PBE.

POSCAR file:
```
MgIn2AuC
1.0
5.256 0.000 0.000
0.000 5.256 0.000
0.000 0.000 5.125
Mg In Au C
1 2 1 1
direct
0.000 0.000 0.000 Mg
0.000 0.500 0.500 In
0.500 0.000 0.500 In
0.000 0.000 0.500 Au
0.500 0.500 0.000 C
```

Calculated values
E_form   1.24 eV per atom
DOS(E_F)   2.27 states/eV per cell
Total magnetization   0.495 μB/atom
Crystal system   tetragonal